Entry 1:
First-principles (PBE) data for a relaxed SrCr2Tc crystal, as listed in the Alexandria database.

Total energy   -7.1309 eV/atom

Lattice parameters (Å, degrees): 8.949 3.191 5.871 90.00 104.17 90.00
Space group C2/m (No. 12)
One atom of each set of equivalent atoms:
1 Sr 0.000 0.000 0.000 [2 per cell]
2 Cr 0.209 0.000 0.606 [4 per cell]
3 Tc 0.000 0.500 0.500 [2 per cell]

Entry 2:
First-principles (PBE) data for a relaxed Sr2CrTc crystal, as listed in the Alexandria database.

Total energy   -4.6391 eV/atom

Lattice parameters (Å, degrees): 3.5210 3.5210 31.0875 90.00 90.00 120.00
Space group R-3m (No. 166, hexagonal axes)
One atom of each set of equivalent atoms:
1 Sr 0.0000 0.0000 0.2412 [6 per cell]
2 Cr 0.0000 0.0000 0.0000 [3 per cell]
3 Tc 0.0000 0.0000 0.5000 [3 per cell]

| no. | ρ (g/cm3) |
| --- | --- |
| 1 | 5.9 |
| 2 | 4.9 |